No. 1
Below is a relaxed TbDy12Th6 crystal, with properties calculated at the PBE-GGA level.

The structure in POSCAR format:
```
TbDy12Th6
1.0
6.526 3.768 4.278
-6.526 3.768 4.278
0.000 -7.536 4.278
Tb Dy Th
1 12 6
direct
0.000 0.000 0.000
0.000 0.262 0.738
0.000 0.738 0.262
0.167 0.588 0.588
0.262 0.000 0.738
0.262 0.738 0.000
0.412 0.412 0.833
0.412 0.833 0.412
0.588 0.167 0.588
0.588 0.588 0.167
0.738 0.000 0.262
0.738 0.262 0.000
0.833 0.412 0.412
0.138 0.138 0.408
0.138 0.408 0.138
0.408 0.138 0.138
0.592 0.862 0.862
0.862 0.592 0.862
0.862 0.862 0.592
```

Output
Calculated formation energy   0.16 eV per atom
Space-group type   R-3m
Total energy   -5.332 eV/atom

=====

No. 2
Below is a relaxed Tb4Dy2Th5 crystal, with properties calculated at the PBE-GGA level.

The structure in POSCAR format:
```
Tb4Dy2Th5
1.0
8.820 0.000 0.000
0.000 3.469 0.000
-0.923 0.000 11.632
Tb Dy Th
4 2 5
direct
0.160 0.000 0.401
0.294 0.000 0.946
0.706 0.000 0.054
0.840 0.000 0.599
0.057 0.500 0.136
0.943 0.500 0.864
0.204 0.500 0.675
0.427 0.500 0.211
0.500 0.500 0.500
0.573 0.500 0.789
0.796 0.500 0.325
```

Output
Calculated formation energy   0.13 eV per atom
Space-group type   P2/m
Total energy   -5.760 eV/atom

=====

No. 3
Below is a relaxed Tb12DyTh3 crystal, with properties calculated at the PBE-GGA level.

The structure in POSCAR format:
```
Tb12DyTh3
1.0
5.041 0.000 0.000
0.000 5.041 0.000
0.000 0.000 20.086
Tb Dy Th
12 1 3
direct
0.000 0.000 0.000
0.000 0.000 0.250
0.000 0.000 0.500
0.000 0.000 0.750
0.000 0.500 0.125
0.000 0.500 0.374
0.000 0.500 0.626
0.000 0.500 0.875
0.500 0.000 0.125
0.500 0.000 0.374
0.500 0.000 0.626
0.500 0.000 0.875
0.500 0.500 0.500
0.500 0.500 0.000
0.500 0.500 0.249
0.500 0.500 0.751
```

Output
Calculated formation energy   0.03 eV per atom
Space-group type   P4/mmm
Total energy   -5.117 eV/atom

=====

No. 4
Below is a relaxed Tb3Dy3Th crystal, with properties calculated at the PBE-GGA level.

The structure in POSCAR format:
```
Tb3Dy3Th
1.0
4.422 -4.867 0.000
4.422 4.867 0.000
-0.207 0.000 10.596
Tb Dy Th
6 6 2
direct
0.029 0.029 0.252
0.128 0.485 0.753
0.485 0.128 0.753
0.515 0.872 0.247
0.872 0.515 0.247
0.971 0.971 0.748
0.184 0.816 0.000
0.189 0.811 0.500
0.324 0.324 0.437
0.676 0.676 0.563
0.811 0.189 0.500
0.816 0.184 0.000
0.335 0.335 0.080
0.665 0.665 0.920
```

Output
Calculated formation energy   0.15 eV per atom
Space-group type   C2/m
Energy relative to the lowest polymorph listed for this composition   12.1 kJ per mole of atoms
Total energy   -4.864 eV/atom